(one)
DFT (PBE-GGA) results for a relaxed structure of SmPu2Ge.

a b c (Å): 4.439 4.439 4.996
angles (deg): 90.00 90.00 90.00
Space group P4/mmm (No. 123)
Symmetry-distinct sites (fractional):
Sm 0.000 0.000 0.000 (multiplicity 1)
Pu 0.000 0.500 0.500 (multiplicity 2)
Ge 0.500 0.500 0.000 (multiplicity 1)

Properties
Density, Mg/m³: 11.99
Volume, Å³/atom: 24.61
N(E_F), states/eV/f.u.: 9.91



(two)
DFT (PBE-GGA) results for a relaxed structure of SmPu2Ge.

a b c (Å): 7.380 7.380 7.380
angles (deg): 90.00 90.00 90.00
Space group Fm-3m (No. 225)
Symmetry-distinct sites (fractional):
Sm 0.000 0.000 0.000 (multiplicity 4)
Pu 0.250 0.250 0.250 (multiplicity 8)
Ge 0.000 0.000 0.500 (multiplicity 4)

Properties
Density, Mg/m³: 11.75
Volume, Å³/atom: 25.12
N(E_F), states/eV/f.u.: 13.12



Of the structures shown above, (one) is the most stable.